## TbYGa2 (GGA-PBE)

Data for TbYGa2 after structural relaxation.

Cell and atoms, written as CIF:
```
data_TbYGa2
_chemical_formula_sum 'Tb1 Y1 Ga2'
_symmetry_space_group_name_H-M 'P 1'
_symmetry_Int_Tables_number 1
_symmetry_space_group_name_Hall 'P 1'
_cell_length_a 8.920
_cell_length_b 8.920
_cell_length_c 8.920
_cell_angle_alpha 23.78
_cell_angle_beta 23.78
_cell_angle_gamma 23.78
loop_
_atom_site_label
_atom_site_type_symbol
_atom_site_fract_x
_atom_site_fract_y
_atom_site_fract_z
Tb1 Tb 0.000 0.000 0.000
Y1 Y 0.500 0.500 0.500
Ga1 Ga 0.250 0.250 0.250
Ga2 Ga 0.750 0.750 0.750
```

Calculated values
ΔE_f	-0.43	eV/atom
VASP energy	-0.347	Ry/atom
D(E_F)	0.478	states/eV per atom
crystal system	trigonal